SrAsRu | SCAN | PBEsol geometry

Lattice parameters (Å, degrees): 4.513 4.513 4.513 60.00 60.00 60.00
Fractional positions:
As: 0.500 0.500 0.500
Ru: 0.750 0.750 0.750
Sr: 0.000 0.000 0.000

The uncorrected energy is -25.647 eV per atom. The formation energy comes out at 0.117 eV per atom.

---

SrAsRu | SCAN | PBEsol geometry

Lattice parameters (Å, degrees): 3.259 3.259 6.074 105.56 105.56 90.00
Fractional positions:
As: 0.039 0.039 0.077
Sr: 0.332 0.332 0.665
Ru: 0.629 0.629 0.258

The uncorrected energy is -26.146 eV per atom. The formation energy comes out at -0.381 eV per atom.

---

Sr2AsRu | SCAN | PBEsol geometry

Lattice parameters (Å, degrees): 4.661 5.368 4.661 64.27 90.00 115.73
Fractional positions:
Ru: 0.000 0.000 0.000
Sr: 0.750 0.500 0.750
Sr: 0.250 0.500 0.250
As: 0.500 0.000 0.500

The uncorrected energy is -24.945 eV per atom. The formation energy comes out at -0.053 eV per atom.